## NaPaN2 (PBE-GGA)

Data for an optimized crystal structure of NaPaN2.

E in eV per atom: -8.1145

Lattice parameters (Å, degrees): 3.5760 3.5760 16.7357 90.00 90.00 120.00
With the nearest neighbours (Å) after each atom.
Fractional coordinates of all 12 atoms:
1 Na 0.0000 0.0000 0.0000  6 N 2.71
2 Na 0.3333 0.6667 0.6667  6 N 2.71
3 Na 0.6667 0.3333 0.3333  6 N 2.71
4 Pa 0.0000 0.0000 0.5000  6 N 2.31
5 Pa 0.3333 0.6667 0.1667  6 N 2.31
6 Pa 0.6667 0.3333 0.8333  6 N 2.31
7 N 0.0000 0.0000 0.2281  3 Pa 2.31
8 N 0.0000 0.0000 0.7719  3 Pa 2.31
9 N 0.3333 0.6667 0.4386  3 Pa 2.31
10 N 0.3333 0.6667 0.8947  3 Pa 2.31
11 N 0.6667 0.3333 0.1053  3 Pa 2.31
12 N 0.6667 0.3333 0.5614  3 Pa 2.31

## NaPd3N5 (PBE-GGA)

Data for an optimized crystal structure of NaPd3N5.

E in eV per atom: -5.7825

Lattice parameters (Å, degrees): 5.5342 5.5342 4.2047 90.00 90.00 120.00
With the nearest neighbours (Å) after each atom.
Fractional coordinates of all 9 atoms:
1 Na 0.0000 0.0000 0.0000  2 N 2.10
2 Pd 0.0000 0.5000 0.5000  4 N 2.19
3 Pd 0.5000 0.0000 0.5000  4 N 2.19
4 Pd 0.5000 0.5000 0.5000  4 N 2.19
5 N 0.0000 0.0000 0.5000  2 Na 2.10
6 N 0.3333 0.6667 0.1443  1 N 1.21
7 N 0.3333 0.6667 0.8557  1 N 1.21
8 N 0.6667 0.3333 0.1443  1 N 1.21
9 N 0.6667 0.3333 0.8557  1 N 1.21

## NaPt3N5 (PBE-GGA)

Data for an optimized crystal structure of NaPt3N5.

E in eV per atom: -5.8656

Lattice parameters (Å, degrees): 5.6270 5.6270 4.0530 90.00 90.00 120.00
With the nearest neighbours (Å) after each atom.
Fractional coordinates of all 9 atoms:
1 Na 0.0000 0.0000 0.0000  2 N 2.03
2 Pt 0.0000 0.5000 0.5000  4 N 2.13
3 Pt 0.5000 0.0000 0.5000  4 N 2.13
4 Pt 0.5000 0.5000 0.5000  4 N 2.13
5 N 0.0000 0.0000 0.5000  2 Na 2.03
6 N 0.3333 0.6667 0.1595  1 N 1.29
7 N 0.3333 0.6667 0.8405  1 N 1.29
8 N 0.6667 0.3333 0.1595  1 N 1.29
9 N 0.6667 0.3333 0.8405  1 N 1.29

## NaPu2N3 (PBE-GGA)

Data for an optimized crystal structure of NaPu2N3.

E in eV per atom: -9.9582

Lattice parameters (Å, degrees): 7.0418 7.0418 4.7789 90.00 90.00 56.21
With the nearest neighbours (Å) after each atom.
Fractional coordinates of all 12 atoms:
1 Na 0.1569 0.8431 0.7500  5 N 2.40-2.61
2 Na 0.8431 0.1569 0.2500  5 N 2.40-2.61
3 Pu 0.1607 0.5236 0.2500  3 N 2.10-2.25
4 Pu 0.4764 0.8393 0.2500  3 N 2.10-2.25
5 Pu 0.5236 0.1607 0.7500  3 N 2.10-2.25
6 Pu 0.8393 0.4764 0.7500  3 N 2.10-2.25
7 N 0.1630 0.4686 0.7500  4 Pu 2.24-2.42
8 N 0.2044 0.7956 0.2500  2 Pu 2.10
9 N 0.4686 0.1630 0.2500  4 Pu 2.24-2.42
10 N 0.5314 0.8370 0.7500  4 Pu 2.24-2.42
11 N 0.7956 0.2044 0.7500  2 Pu 2.10
12 N 0.8370 0.5314 0.2500  4 Pu 2.24-2.42

## NaReN2 (PBE-GGA)

Data for an optimized crystal structure of NaReN2.

E in eV per atom: -7.6404

Lattice parameters (Å, degrees): 2.9555 2.9555 17.2195 90.00 90.00 120.00
With the nearest neighbours (Å) after each atom.
Fractional coordinates of all 12 atoms:
1 Na 0.0000 0.0000 0.0000  6 N 2.40
2 Na 0.3333 0.6667 0.6667  6 N 2.40
3 Na 0.6667 0.3333 0.3333  6 N 2.40
4 Re 0.0000 0.0000 0.5000  6 N 2.08
5 Re 0.3333 0.6667 0.1667  6 N 2.08
6 Re 0.6667 0.3333 0.8333  6 N 2.08
7 N 0.0000 0.0000 0.2355  3 Re 2.08
8 N 0.0000 0.0000 0.7645  3 Re 2.08
9 N 0.3333 0.6667 0.4312  3 Re 2.08
10 N 0.3333 0.6667 0.9022  3 Re 2.08
11 N 0.6667 0.3333 0.0978  3 Re 2.08
12 N 0.6667 0.3333 0.5688  3 Re 2.08

## NaSr2ReN4 (PBE-GGA)

Data for an optimized crystal structure of NaSr2ReN4.

E in eV per atom: -7.0111

Lattice parameters (Å, degrees): 6.2167 6.0344 7.0810 90.00 105.06 90.00
With the nearest neighbours (Å) after each atom.
Fractional coordinates of all 16 atoms:
1 Na 0.2288 0.2500 0.3121  4 N 2.31-2.37
2 Na 0.7712 0.7500 0.6879  4 N 2.31-2.37
3 Sr 0.2234 0.7500 0.0468  6 N 2.62-2.89
4 Sr 0.2524 0.7500 0.5578  5 N 2.60-2.88
5 Sr 0.7476 0.2500 0.4422  5 N 2.60-2.88
6 Sr 0.7766 0.2500 0.9532  6 N 2.62-2.89
7 Re 0.2413 0.2500 0.8017  4 N 1.82-1.86
8 Re 0.7587 0.7500 0.1983  4 N 1.82-1.86
9 N 0.0519 0.0108 0.7509  1 Re 1.84
10 N 0.0519 0.4892 0.7509  1 Re 1.84
11 N 0.4018 0.2500 0.0565  1 Re 1.82
12 N 0.4373 0.2500 0.6437  1 Re 1.86
13 N 0.5627 0.7500 0.3563  1 Re 1.86
14 N 0.5982 0.7500 0.9435  1 Re 1.82
15 N 0.9481 0.5108 0.2491  1 Re 1.84
16 N 0.9481 0.9892 0.2491  1 Re 1.84

Question: Which formula does entry 1 have?
Answer: NaPaN2

Question: Number 3 is which compound?
Answer: NaPt3N5

Question: Which formula does entry 6 have?
Answer: NaSr2ReN4

Question: Number 3 is which compound?
Answer: NaPt3N5